Entry 1:
6
Lattice="0.000 4.041 4.041 4.041 0.000 4.041 4.041 4.041 0.000" Properties=species:S:1:pos:R:3 comment="CoTeSe4 PBE relaxed" m_tot_mub_per_fu=2.2 pbc="T T T"
Co 0.000 0.000 0.000
Te 2.020 2.020 2.020
Se 5.066 3.016 3.016
Se 3.016 5.066 3.016
Se 3.016 3.016 5.066
Se 5.066 5.066 5.066

Entry 2:
4
Lattice="3.097 -1.804 0.000 3.097 1.804 0.000 -2.188 0.000 8.000" Properties=species:S:1:pos:R:3 comment="CoTeSe2 PBE relaxed" m_tot_mub_per_fu=0.0 pbc="T T T"
Co 0.000 0.000 0.000
Te 2.003 0.000 4.000
Se 2.069 0.000 1.187
Se 1.936 0.000 6.812

Entry 3:
4
Lattice="2.943 0.000 0.000 0.000 2.943 0.000 0.000 0.000 12.096" Properties=species:S:1:pos:R:3 comment="CoTeSe2 PBE relaxed" m_tot_mub_per_fu=0.7 pbc="T T T"
Co 0.000 0.000 0.000
Te 1.472 1.472 6.529
Se 0.000 0.000 2.360
Se 1.472 1.472 10.925

Entry 4:
4
Lattice="2.952 0.000 0.000 0.000 2.952 0.000 0.000 0.000 9.895" Properties=species:S:1:pos:R:3 comment="CoTeSe2 PBE relaxed" m_tot_mub_per_fu=0.0 pbc="T T T"
Co 0.000 0.000 0.000
Te 1.476 1.476 7.764
Se 0.000 0.000 4.438
Se 1.476 1.476 1.264

Entry 5:
8
Lattice="-3.287 3.287 4.398 3.287 -3.287 4.398 3.287 3.287 -4.398" Properties=species:S:1:pos:R:3 comment="CoTeSe2 PBE relaxed" m_tot_mub_per_fu=0.0 pbc="T T T"
Co 0.000 0.000 0.000
Co 0.000 3.287 2.199
Te 3.287 0.000 2.199
Te 0.000 0.000 4.398
Se 4.930 1.090 -1.100
Se 1.090 1.643 1.100
Se -1.643 2.197 3.299
Se 2.197 1.643 5.498

Entry 6:
4
Lattice="2.050 -2.137 0.000 2.050 2.137 0.000 0.000 0.000 10.348" Properties=species:S:1:pos:R:3 comment="CoTeSe2 PBE relaxed" m_tot_mub_per_fu=0.0 pbc="T T T"
Co 0.000 0.000 0.000
Te 0.000 0.000 5.174
Se 2.050 0.000 1.500
Se 2.050 0.000 8.847

Entry 7:
4
Lattice="-1.716 2.192 5.797 1.716 -2.192 5.797 1.716 2.192 -5.797" Properties=species:S:1:pos:R:3 comment="CoTeSe2 PBE relaxed" m_tot_mub_per_fu=0.0 pbc="T T T"
Co 0.000 0.000 0.000
Te 0.000 2.192 3.848
Se 1.716 0.000 1.652
Se 0.000 0.000 5.691

Entry 8:
4
Lattice="3.162 -1.827 0.000 3.162 1.827 0.000 -0.114 0.000 7.972" Properties=species:S:1:pos:R:3 comment="CoTeSe2 PBE relaxed" m_tot_mub_per_fu=0.0 pbc="T T T"
Co 0.000 0.000 0.000
Te 1.993 0.000 6.519
Se 4.216 0.000 1.141
Se 4.227 0.000 3.445

Entry 9:
8
Lattice="7.490 0.000 0.000 0.000 4.135 0.000 -2.385 0.000 7.416" Properties=species:S:1:pos:R:3 comment="Th4CoTe2Se PBE relaxed" m_tot_mub_per_fu=0.0 pbc="T T T"
Th 1.096 0.000 1.497
Th -0.030 2.068 5.810
Th 5.135 2.068 1.606
Th 4.009 0.000 5.920
Co 0.000 2.068 0.000
Te -1.193 0.000 3.708
Te 2.552 2.068 3.708
Se 3.745 0.000 0.000

Entry 10:
16
Lattice="4.268 2.464 7.342 -4.268 2.464 7.342 0.000 -4.929 7.342" Properties=species:S:1:pos:R:3 comment="Th8CoTe4Se3 PBE relaxed" m_tot_mub_per_fu=0.0 pbc="T T T"
Th 0.000 0.000 5.310
Th -2.000 -1.155 12.571
Th 0.000 -2.309 9.454
Th -2.000 1.155 9.454
Th 2.000 -1.155 12.571
Th 0.000 2.309 12.571
Th 2.000 1.155 9.454
Th 0.000 0.000 16.716
Co 0.000 0.000 11.013
Te 0.000 0.000 0.000
Te -2.134 -1.232 7.342
Te -2.134 1.232 14.684
Te 0.000 2.464 7.342
Se -4.268 0.000 11.013
Se -2.134 1.232 3.671
Se 2.134 1.232 3.671

Entry 11:
12
Lattice="9.229 -2.080 0.000 9.229 2.080 0.000 -3.060 0.000 8.217" Properties=species:S:1:pos:R:3 comment="Th6Co3TeSe2 PBE relaxed" m_tot_mub_per_fu=0.0 pbc="T T T"
Th -0.417 0.000 1.847
Th 4.518 0.000 3.556
Th 3.611 0.000 7.422
Th 11.787 0.000 0.795
Th 10.880 0.000 4.661
Th 15.815 0.000 6.370
Co 2.078 0.000 2.712
Co 9.229 0.000 0.000
Co 13.320 0.000 5.505
Te 7.699 0.000 4.108
Se 0.532 0.000 6.839
Se 14.866 0.000 1.378

Entry 12:
8
Lattice="7.225 0.000 0.000 0.000 3.901 0.000 -2.246 0.000 6.958" Properties=species:S:1:pos:R:3 comment="Tm4CoTeSe2 PBE relaxed" m_tot_mub_per_fu=0.0 pbc="T T T"
Tm 0.943 0.000 2.092
Tm 0.117 1.951 5.086
Tm 4.862 1.951 1.872
Tm 4.036 0.000 4.866
Co -1.123 0.000 3.479
Te 0.000 1.951 0.000
Se 3.612 0.000 0.000
Se 2.489 1.951 3.479

Entry 13:
5
Lattice="4.351 0.000 0.000 0.000 4.351 0.000 0.000 0.000 6.227" Properties=species:S:1:pos:R:3 comment="ZnCo2TeSe PBE relaxed" m_tot_mub_per_fu=3.2 pbc="T T T"
Zn 0.000 0.000 0.000
Co 0.000 2.175 3.114
Co 2.175 0.000 3.114
Te 2.175 2.175 0.000
Se 2.175 2.175 3.114

Entry 14:
9
Lattice="7.465 -1.944 0.000 7.465 1.944 0.000 -4.636 0.000 7.274" Properties=species:S:1:pos:R:3 comment="Th4Co2Se3 PBE relaxed" m_tot_mub_per_fu=0.0 pbc="T T T"
Th -0.709 0.000 2.819
Th 0.748 0.000 6.259
Th 9.547 0.000 1.015
Th 11.005 0.000 4.455
Co 2.123 0.000 3.120
Co 8.172 0.000 4.155
Se 0.000 0.000 0.000
Se 4.313 0.000 1.951
Se 5.983 0.000 5.323

Entry 15:
16
Lattice="7.372 0.000 0.000 0.000 8.438 0.000 -2.272 0.000 6.749" Properties=species:S:1:pos:R:3 comment="Th4CoSe3 PBE relaxed" m_tot_mub_per_fu=0.0 pbc="T T T"
Th 1.568 0.935 0.092
Th 0.432 7.504 3.467
Th 0.628 3.097 3.274
Th -0.508 5.342 6.648
Th 5.609 3.097 0.101
Th 4.473 5.342 3.476
Th 4.669 0.935 3.283
Th 3.533 7.504 6.658
Co -0.568 1.069 1.687
Co -1.704 7.369 5.062
Se -1.704 3.121 5.062
Se -0.568 5.317 1.687
Se 1.982 1.109 5.062
Se 3.118 3.166 1.687
Se 1.982 5.272 5.062
Se 3.118 7.329 1.687

Entry 16:
12
Lattice="3.667 -6.302 0.000 3.667 6.302 0.000 -2.445 0.000 6.830" Properties=species:S:1:pos:R:3 comment="Th6CoSe5 PBE relaxed" m_tot_mub_per_fu=0.0 pbc="T T T"
Th -0.086 1.946 4.996
Th 1.076 0.000 1.730
Th -0.086 -1.946 4.996
Th 4.975 1.946 1.835
Th 3.813 0.000 5.101
Th 4.975 -1.946 1.835
Co -1.223 0.000 3.415
Se 3.667 4.052 0.000
Se 2.445 2.074 3.415
Se 3.667 0.000 0.000
Se 2.445 -2.074 3.415
Se 3.667 -4.052 0.000

Entry 17:
11
Lattice="6.635 -2.959 0.000 6.635 2.959 0.000 -2.743 0.000 7.844" Properties=species:S:1:pos:R:3 comment="Th5CoSe5 PBE relaxed" m_tot_mub_per_fu=0.0 pbc="T T T"
Th 0.000 0.000 0.000
Th 4.091 0.000 1.226
Th 2.706 0.000 5.441
Th 7.820 0.000 2.402
Th 6.435 0.000 6.618
Co 6.635 0.000 0.000
Se -0.137 0.000 6.390
Se 1.384 0.000 2.693
Se 5.263 0.000 3.922
Se 9.142 0.000 5.150
Se 10.663 0.000 1.453

Entry 18:
4
Lattice="2.008 1.159 7.295 -2.008 1.159 7.295 0.000 -2.318 7.295" Properties=species:S:1:pos:R:3 comment="Th2CoSe PBE relaxed" m_tot_mub_per_fu=0.0 pbc="T T T"
Th 0.000 0.000 5.169
Th 0.000 0.000 16.715
Co 0.000 0.000 10.942
Se 0.000 0.000 0.000

Entry 19:
4
Lattice="3.981 0.000 0.000 -1.991 3.448 0.000 0.000 0.000 7.353" Properties=species:S:1:pos:R:3 comment="Th2CoSe PBE relaxed" m_tot_mub_per_fu=0.0 pbc="T T T"
Th 0.000 2.299 1.559
Th 1.991 1.149 5.795
Co 0.000 0.000 0.000
Se 0.000 0.000 3.677

Entry 20:
4
Lattice="1.991 1.149 7.441 -1.991 1.149 7.441 0.000 -2.299 7.441" Properties=species:S:1:pos:R:3 comment="Th2CoSe PBE relaxed" m_tot_mub_per_fu=0.0 pbc="T T T"
Th 0.000 0.000 0.000
Th 0.000 0.000 4.358
Co 0.000 0.000 13.298
Se 0.000 0.000 17.075

Entry 21:
12
Lattice="3.603 -6.210 0.000 3.603 6.210 0.000 -2.414 0.000 7.007" Properties=species:S:1:pos:R:3 comment="Th3CoSe2 PBE relaxed" m_tot_mub_per_fu=0.0 pbc="T T T"
Th -0.110 2.242 5.469
Th 1.008 0.000 1.515
Th -0.110 -2.242 5.469
Th 4.902 2.242 1.538
Th 3.784 0.000 5.491
Th 4.902 -2.242 1.538
Co 3.603 4.130 0.000
Co 3.603 -4.130 0.000
Se -1.207 0.000 3.503
Se 2.396 1.925 3.503
Se 3.603 0.000 0.000
Se 2.396 -1.925 3.503

Fermi-level density of states across the listed records, respectively: 4.55 1.78 3.00 2.98 6.78 2.62 2.94 2.33 6.29 10.84 8.81 4.03 3.74 5.39 12.36 10.53 6.19 2.48 3.31 3.85 6.28 states/eV per cell.
Total energy across the listed records, respectively: -3.1022 -4.4485 -4.2482 -4.0643 -4.2140 -4.1625 -4.1773 -4.3352 -6.8582 -6.7673 -7.1960 -5.5291 -3.7324 -7.0851 -7.1591 -7.1086 -6.9881 -7.2995 -7.2441 -7.2477 -7.2273 eV/atom.